No. 1
Compound: KPt2CO
Source: Alexandria
Functional: PBE
Structure: relaxed

```
KPt2CO
1.0
5.1570 0.0000 0.0000
0.0000 5.1570 0.0000
0.0000 0.0000 4.3519
K Pt C O
1 2 1 1
Direct
0.0000 0.0000 0.0000
0.0000 0.5000 0.0000
0.5000 0.0000 0.0000
0.5000 0.5000 0.5000
0.0000 0.0000 0.5000
```

VASP energy   -2.3810 eV/atom
Formation energy (no corrections)   3.09 eV per atom
Space group   P4/mmm, No. 123

---

No. 2
Compound: TlCo2Pt
Source: Alexandria
Functional: PBE
Structure: relaxed

```
TlCo2Pt
1.0
4.3680 -1.4280 0.0000
4.3680 1.4280 0.0000
-1.1100 0.0000 5.0804
Tl Co Pt
1 2 1
Direct
0.0000 0.0000 0.0000
0.2460 0.2460 0.6937
0.7540 0.7540 0.3063
0.5000 0.5000 0.5000
```

ΔH_f (0 K)   344 meV/atom
VASP energy   -5.3112 eV/atom
Space group   C2/m, No. 12

---

No. 3
Compound: CeTiBi3
Source: Alexandria
Functional: PBE
Structure: relaxed

```
CeTiBi3
1.0
5.7791 0.0000 0.0000
0.0000 5.7571 0.0000
-0.8132 0.0000 9.0529
Ce Ti Bi
2 2 6
Direct
0.0758 0.2500 0.3096
0.9242 0.7500 0.6904
0.4875 0.2500 0.8248
0.5125 0.7500 0.1752
0.0066 0.7500 0.1246
0.2961 0.7500 0.4450
0.4520 0.7500 0.8517
0.5480 0.2500 0.1483
0.7039 0.2500 0.5550
0.9934 0.2500 0.8754
```

ΔH_f (0 K)   -223 meV/atom
VASP energy   -5.3170 eV/atom
Space group   P2_1/m, No. 11

---

No. 4
Compound: ErTi2Ga
Source: Alexandria
Functional: PBE
Structure: relaxed

```
ErTi2Ga
1.0
1.5004 0.8662 10.3738
-1.5004 0.8662 10.3738
0.0000 -1.7325 10.3738
Er Ti Ga
1 2 1
Direct
0.0000 0.0000 0.0000
0.0964 0.0964 0.0964
0.9036 0.9036 0.9036
0.5000 0.5000 0.5000
```

ΔH_f (0 K)   240 meV/atom
VASP energy   -5.6051 eV/atom
Space group   R-3m, No. 166

---

No. 5
Compound: Pa2ZnAu
Source: Alexandria
Functional: PBE
Structure: relaxed

```
Pa2ZnAu
1.0
0.0000 3.5662 3.5662
3.5662 0.0000 3.5662
3.5662 3.5662 0.0000
Pa Zn Au
2 1 1
Direct
0.2500 0.2500 0.2500
0.7500 0.7500 0.7500
0.0000 0.0000 0.0000
0.5000 0.5000 0.5000
```

ΔH_f (0 K)   55 meV/atom
VASP energy   -5.8305 eV/atom
Space group   Fm-3m, No. 225

---

No. 6
Compound: PmSm2Y6Tm2
Source: Alexandria
Functional: PBE
Structure: relaxed

```
PmSm2Y6Tm2
1.0
2.8411 -6.0119 0.0000
2.8411 6.0119 0.0000
-0.0155 0.0000 10.6595
Pm Sm Y Tm
1 2 6 2
Direct
0.0000 0.0000 0.0000
0.3643 0.6357 0.5000
0.6357 0.3643 0.5000
0.1537 0.8450 0.2882
0.1550 0.8463 0.7118
0.4993 0.4993 0.2100
0.5007 0.5007 0.7900
0.8450 0.1537 0.2882
0.8463 0.1550 0.7118
0.2983 0.7017 0.0000
0.7017 0.2983 0.0000
```

ΔH_f (0 K)   152 meV/atom
VASP energy   -5.4769 eV/atom
Space group   C2/m, No. 12